Below is a geometry-optimized Li2Fe3F8 structure, with properties calculated at the GGA+U level.

Values from the calculation:
uncorrected energy = -138.553 eV per cell
density = 3.368 Mg/m³
distance to the lowest polymorph of the same formula = 0 meV per atom
N(E_F) = 0.00 states/eV/f.u.

Cell: 6.789 6.789 8.666 Å, 90.00 90.00 124.62°
Fractional coordinates of all 26 atoms:
Li 0.386 0.614 0.889
Li 0.886 0.114 0.611
Li 0.614 0.386 0.111
Li 0.114 0.886 0.389
F 0.862 0.629 0.518
F 0.984 0.016 0.246
F 0.638 0.871 0.018
F 0.743 0.257 0.234
F 0.757 0.243 0.734
F 0.257 0.743 0.766
F 0.362 0.129 0.982
F 0.129 0.362 0.018
F 0.484 0.516 0.254
F 0.138 0.371 0.482
F 0.516 0.484 0.746
F 0.371 0.138 0.518
F 0.871 0.638 0.982
F 0.243 0.757 0.266
F 0.016 0.984 0.754
F 0.629 0.862 0.482
Fe 0.000 0.000 0.000
Fe 0.604 0.896 0.250
Fe 0.104 0.396 0.250
Fe 0.396 0.104 0.750
Fe 0.896 0.604 0.750
Fe 0.500 0.500 0.500